1.
A relaxed structure of CsAgAuS2. Source: Alexandria, functional GGA-PBE.

Computed properties:
crystal system	orthorhombic
raw formation energy	-0.413	eV per atom
magnetization	0.00	μB/f.u.

Geometry as CIF:
```
data_CsAgAuS2
_chemical_formula_sum 'Cs2 Ag2 Au2 S4'
_space_group_name_H-M_alt 'P 1'
_space_group_IT_number 1
_space_group_name_Hall 'P 1'
_cell_length_a 6.0856
_cell_length_b 6.6301
_cell_length_c 7.7176
_cell_angle_alpha 115.44
_cell_angle_beta 90.00
_cell_angle_gamma 90.00
loop_
_atom_site_label
_atom_site_type_symbol
_atom_site_fract_x
_atom_site_fract_y
_atom_site_fract_z
Ag1 Ag 0.5000 0.7500 0.0000
Ag2 Ag 0.5000 0.2500 0.0000
S1 S 0.7119 0.8921 0.7842
S2 S 0.2881 0.3921 0.7842
S3 S 0.2881 0.1079 0.2158
S4 S 0.7119 0.6079 0.2158
Cs1 Cs 0.7613 0.2500 0.5000
Cs2 Cs 0.2387 0.7500 0.5000
Au1 Au 0.0000 0.0000 0.0000
Au2 Au 0.0000 0.5000 0.0000
```


2.
A relaxed structure of LiSbIrO6. Source: Alexandria, functional GGA-PBE.

Computed properties:
crystal system	trigonal
raw formation energy	-1.089	eV per atom
magnetization	1.61	μB/f.u.

Geometry as CIF:
```
data_LiSbIrO6
_chemical_formula_sum 'Li2 Sb2 Ir2 O12'
_space_group_name_H-M_alt 'P 1'
_space_group_IT_number 1
_space_group_name_Hall 'P 1'
_cell_length_a 5.2550
_cell_length_b 5.2550
_cell_length_c 9.2291
_cell_angle_alpha 90.00
_cell_angle_beta 90.00
_cell_angle_gamma 120.00
loop_
_atom_site_label
_atom_site_type_symbol
_atom_site_fract_x
_atom_site_fract_y
_atom_site_fract_z
O1 O 0.6346 0.9887 0.8653
O2 O 0.3542 0.3654 0.8653
O3 O 0.0113 0.3654 0.6347
O4 O 0.3654 0.3542 0.3653
O5 O 0.9887 0.6346 0.3653
O6 O 0.3654 0.0113 0.1347
O7 O 0.9887 0.3542 0.1347
O8 O 0.6458 0.6346 0.1347
O9 O 0.6458 0.0113 0.3653
O10 O 0.0113 0.6458 0.8653
O11 O 0.6346 0.6458 0.6347
O12 O 0.3542 0.9887 0.6347
Sb1 Sb 0.6667 0.3333 0.7500
Sb2 Sb 0.3333 0.6667 0.2500
Li1 Li 0.0000 0.0000 0.5000
Li2 Li 0.0000 0.0000 0.0000
Ir1 Ir 0.6667 0.3333 0.2500
Ir2 Ir 0.3333 0.6667 0.7500
```


3.
A relaxed structure of CaCdSe2. Source: Alexandria, functional GGA-PBE.

Computed properties:
crystal system	orthorhombic
raw formation energy	-0.942	eV per atom
magnetization	0.00	μB/f.u.

Geometry as CIF:
```
data_CaCdSe2
_chemical_formula_sum 'Ca1 Cd1 Se2'
_space_group_name_H-M_alt 'P 1'
_space_group_IT_number 1
_space_group_name_Hall 'P 1'
_cell_length_a 4.2651
_cell_length_b 6.2701
_cell_length_c 3.8100
_cell_angle_alpha 90.00
_cell_angle_beta 90.00
_cell_angle_gamma 90.00
loop_
_atom_site_label
_atom_site_type_symbol
_atom_site_fract_x
_atom_site_fract_y
_atom_site_fract_z
Se1 Se 0.5000 0.5000 0.0000
Se2 Se 0.0000 0.0000 0.0000
Cd1 Cd 0.0000 0.5000 0.5000
Ca1 Ca 0.5000 0.0000 0.5000
```


| no. | DOS at the Fermi energy (states/eV/cell) |
| --- | --- |
| 1 | 8.73 |
| 2 | 10.88 |
| 3 | 1.61 |